BaGePd3Pb | PBE | relaxed

The value obtained for the total magnetic moment is 0.00 μB per cell. The value obtained for the density of states at the Fermi level is 10.4 states/eV/cell. For the total energy, the calculation gives -4.747 eV/atom. For the formation enthalpy at 0 K, the calculation gives -0.44 eV/atom.

The structure belongs to space group Cmcm (No. 63); the cell edges are 7.270, 13.895 and 6.324 Å and the angles 90.00°, 90.00° and 90.00°. The inequivalent atoms are Ba at (0.000, 0.225, 0.250), Ge at (0.000, 0.085, 0.750), Pd at (0.000, 0.257, 0.750), Pd at (0.200, 0.000, 0.000) and Pb at (0.000, 0.449, 0.750).